[1]
Here is a relaxed structure of CaHfMo2 from Alexandria via LeMat-Bulk. Energies are from PBE.

POSCAR file:
```
CaHfMo2
1.0
0.000 3.403 3.403
3.403 0.000 3.403
3.403 3.403 0.000
Mo Hf Ca
2 1 1
direct
0.250 0.250 0.250
0.750 0.750 0.750
0.500 0.500 0.500
0.000 0.000 0.000
```

Results
Magnetization ... 0.2309 μB/atom
VASP energy ... -7.66 eV per atom
Energy above the most stable polymorph in this dataset ... 0 meV per atom
Formation energy ... 0.74 eV per atom

---

[2]
Here is a relaxed structure of Y2MgF from Alexandria via LeMat-Bulk. Energies are from PBE.

POSCAR file:
```
Y2MgF
1.0
-2.601 6.385 -2.472
1.753 -1.935 -6.843
-3.822 0.673 -5.089
Y Mg F
4 2 2
direct
0.522 0.125 0.250
0.228 0.625 0.250
0.375 0.478 0.750
0.875 0.772 0.750
0.000 0.000 0.000
0.750 0.250 0.500
0.500 0.500 0.000
0.250 0.750 0.500
```

Results
Magnetization ... 0.1463 μB/atom
VASP energy ... -5.19 eV per atom
Energy above the most stable polymorph in this dataset ... 0 meV per atom

---

[3]
Here is a relaxed structure of AlBiRh from Alexandria via LeMat-Bulk. Energies are from PBE.

POSCAR file:
```
AlBiRh
1.0
-1.540 -0.684 2.717
-3.143 -1.192 -2.082
7.311 -18.417 -0.493
Rh Bi Al
4 4 4
direct
0.500 0.000 0.454
0.500 0.500 0.954
0.500 0.000 0.070
0.500 0.500 0.570
0.500 0.000 0.682
0.500 0.500 0.182
0.000 0.000 0.331
0.000 0.500 0.831
0.000 0.000 0.958
0.000 0.500 0.458
0.000 0.000 0.554
0.000 0.500 0.054
```

Results
Magnetization ... 0.0000 μB/atom
VASP energy ... -5.47 eV per atom
Formation energy ... -0.48 eV per atom

---

[4]
Here is a relaxed structure of SrNd2Y from Alexandria via LeMat-Bulk. Energies are from PBE.

POSCAR file:
```
SrNd2Y
1.0
3.742 0.000 0.000
1.871 3.241 0.000
1.871 1.080 12.425
Y Sr Nd
1 1 2
direct
0.500 0.500 0.500
0.000 0.000 0.000
0.757 0.757 0.730
0.243 0.243 0.270
```

Results
Magnetization ... 0.0000 μB/atom
VASP energy ... -4.33 eV per atom
Energy above the most stable polymorph in this dataset ... 0 meV per atom
Formation energy ... 0.09 eV per atom

---

[5]
Here is a relaxed structure of Y3Ho8 from Alexandria via LeMat-Bulk. Energies are from PBE.

POSCAR file:
```
Y3Ho8
1.0
-6.430 -0.571 -3.923
-5.012 -3.372 4.536
-4.591 5.423 2.565
Y Ho
3 8
direct
0.500 0.000 0.500
0.000 0.500 0.500
0.500 0.500 0.000
0.870 0.291 0.202
0.291 0.202 0.870
0.202 0.870 0.291
0.417 0.417 0.417
0.583 0.583 0.583
0.798 0.130 0.709
0.709 0.798 0.130
0.130 0.709 0.798
```

Results
Magnetization ... 0.0000 μB/atom
VASP energy ... -4.50 eV per atom
Formation energy ... 0.59 eV per atom

---

[6]
Here is a relaxed structure of Dy6YEr2 from Alexandria via LeMat-Bulk. Energies are from PBE.

POSCAR file:
```
Dy6YEr2
1.0
-5.714 -1.792 1.905
-0.138 -9.112 5.255
-2.915 4.017 9.275
Dy Y Er
12 2 4
direct
0.407 0.678 0.429
0.093 0.571 0.322
0.593 0.322 0.571
0.907 0.429 0.678
0.813 0.993 0.421
0.687 0.579 0.007
0.187 0.007 0.579
0.313 0.421 0.993
0.252 0.849 0.937
0.248 0.063 0.151
0.748 0.151 0.063
0.752 0.937 0.849
0.250 0.178 0.822
0.750 0.822 0.178
0.198 0.630 0.756
0.302 0.244 0.370
0.802 0.370 0.244
0.698 0.756 0.630
```

Results
Magnetization ... 0.0000 μB/atom
VASP energy ... -4.56 eV per atom
Energy above the most stable polymorph in this dataset ... 116 meV per atom
Formation energy ... 0.24 eV per atom

---

[7]
Here is a relaxed structure of Mg6Zn2Hg from Alexandria via LeMat-Bulk. Energies are from PBE.

POSCAR file:
```
Mg6Zn2Hg
1.0
-1.840 1.794 4.152
3.038 -3.819 0.125
6.917 5.525 0.678
Mg Zn Hg
6 2 1
direct
0.667 0.333 0.945
0.333 0.667 0.055
0.000 0.000 0.179
0.333 0.667 0.398
0.000 0.000 0.821
0.667 0.333 0.602
0.333 0.667 0.740
0.667 0.333 0.260
0.000 0.000 0.500
```

Results
Magnetization ... 0.0000 μB/atom
VASP energy ... -1.44 eV per atom
Formation energy ... -0.06 eV per atom

---

[8]
Here is a relaxed structure of LiCrCo from Alexandria via LeMat-Bulk. Energies are from PBE.

POSCAR file:
```
LiCrCo
1.0
-2.117 -0.099 3.225
-1.569 -3.324 1.177
1.361 -1.768 3.148
Co Cr Li
1 1 1
direct
0.750 0.750 0.750
0.000 0.000 0.000
0.500 0.500 0.500
```

Results
Magnetization ... 0.6206 μB/atom
VASP energy ... -5.51 eV per atom
Energy above the most stable polymorph in this dataset ... 438 meV per atom
Formation energy ... 0.71 eV per atom

---

[9]
Here is a relaxed structure of La4TlAs2 from Alexandria via LeMat-Bulk. Energies are from PBE.

POSCAR file:
```
La4TlAs2
1.0
5.811 0.000 0.000
0.000 5.811 0.000
2.906 2.906 7.939
Tl As La
1 2 4
direct
0.000 0.000 0.000
0.620 0.620 0.760
0.380 0.380 0.240
0.799 0.799 0.402
0.201 0.201 0.598
0.000 0.500 0.000
0.500 0.000 0.000
```

Results
Magnetization ... 0.0000 μB/atom
VASP energy ... -4.76 eV per atom
Formation energy ... -0.28 eV per atom

---

[10]
Here is a relaxed structure of Ca8GaPb2 from Alexandria via LeMat-Bulk. Energies are from PBE.

POSCAR file:
```
Ca8GaPb2
1.0
5.291 0.000 -1.610
-1.109 6.417 -3.645
0.080 1.217 9.759
Ca Ga Pb
8 1 2
direct
0.632 0.869 0.264
0.368 0.605 0.736
0.193 0.193 0.386
0.000 0.245 0.000
0.807 0.807 0.614
0.632 0.395 0.264
0.368 0.131 0.736
0.000 0.755 0.000
0.500 0.000 0.000
0.186 0.686 0.373
0.814 0.314 0.627
```

Results
Magnetization ... 0.0000 μB/atom
VASP energy ... -2.74 eV per atom
Formation energy ... -0.33 eV per atom

---

[11]
Here is a relaxed structure of Ac2Pr3Sm4 from Alexandria via LeMat-Bulk. Energies are from PBE.

POSCAR file:
```
Ac2Pr3Sm4
1.0
3.749 0.000 0.000
-1.874 3.247 0.000
0.000 0.000 27.749
Ac Pr Sm
2 3 4
direct
0.667 0.333 0.096
0.667 0.333 0.866
0.000 0.000 0.983
0.000 0.000 0.328
0.667 0.333 0.648
0.000 0.000 0.540
0.667 0.333 0.438
0.667 0.333 0.224
0.000 0.000 0.754
```

Results
Magnetization ... 0.0000 μB/atom
VASP energy ... -4.52 eV per atom
Energy above the most stable polymorph in this dataset ... 49 meV per atom
Formation energy ... 0.08 eV per atom

---

[12]
Here is a relaxed structure of ReAu2Br2 from Alexandria via LeMat-Bulk. Energies are from PBE.

POSCAR file:
```
ReAu2Br2
1.0
-0.535 -3.878 -5.915
7.062 0.027 -0.657
0.250 -3.890 2.528
Re Au Br
2 4 4
direct
0.000 0.000 0.000
0.500 0.500 0.000
0.363 0.863 0.000
0.863 0.637 0.000
0.637 0.137 0.000
0.137 0.363 0.000
0.191 0.691 0.500
0.691 0.809 0.500
0.809 0.309 0.500
0.309 0.191 0.500
```

Results
Magnetization ... 0.8491 μB/atom
VASP energy ... -3.38 eV per atom
Energy above the most stable polymorph in this dataset ... 0 meV per atom

---

[13]
Here is a relaxed structure of CdFePCl2 from Alexandria via LeMat-Bulk. Energies are from PBE.

POSCAR file:
```
CdFePCl2
1.0
5.073 0.000 0.000
0.000 5.073 0.000
0.000 0.000 5.283
P Cl Fe Cd
1 2 1 1
direct
0.000 0.000 0.500
0.000 0.500 0.000
0.500 0.000 0.000
0.500 0.500 0.500
0.000 0.000 0.000
```

Results
Magnetization ... 0.5649 μB/atom
VASP energy ... -3.03 eV per atom
Energy above the most stable polymorph in this dataset ... 632 meV per atom

---

[14]
Here is a relaxed structure of PmPrSi from Alexandria via LeMat-Bulk. Energies are from PBE.

POSCAR file:
```
PmPrSi
1.0
-2.084 3.274 1.914
-0.200 -2.486 4.035
3.696 2.849 -0.850
Pr Si Pm
1 1 1
direct
0.625 0.667 0.333
0.296 0.333 0.667
0.079 0.000 0.000
```

Results
Magnetization ... 0.0000 μB/atom
VASP energy ... -5.27 eV per atom
Energy above the most stable polymorph in this dataset ... 147 meV per atom

---

[15]
Here is a relaxed structure of Nb4MoIr from Alexandria via LeMat-Bulk. Energies are from PBE.

POSCAR file:
```
Nb4MoIr
1.0
4.385 0.000 0.000
0.000 4.387 0.001
0.006 0.009 6.291
Nb Mo Ir
4 1 1
direct
0.501 0.997 0.249
0.501 0.998 0.747
0.002 0.497 0.747
0.001 0.497 0.249
0.001 0.997 0.498
0.501 0.497 0.998
```

Results
Magnetization ... 0.0000 μB/atom
VASP energy ... -9.69 eV per atom
Formation energy ... 0.30 eV per atom

---

[16]
Here is a relaxed structure of Y2NiGe4Pd3 from Alexandria via LeMat-Bulk. Energies are from PBE.

POSCAR file:
```
Y2NiGe4Pd3
1.0
-1.155 0.835 3.954
1.873 -3.534 1.293
8.823 5.216 1.477
Y Ni Ge Pd
2 1 4 3
direct
0.500 0.000 0.260
0.000 0.500 0.740
0.500 0.500 0.500
0.500 0.500 0.000
0.000 0.000 0.000
0.500 0.000 0.624
0.000 0.500 0.376
0.000 0.000 0.500
0.500 0.000 0.861
0.000 0.500 0.139
```

Results
Magnetization ... 0.0000 μB/atom
VASP energy ... -6.01 eV per atom
Formation energy ... -0.73 eV per atom

---

[17]
Here is a relaxed structure of Nd3HoSn2 from Alexandria via LeMat-Bulk. Energies are from PBE.

POSCAR file:
```
Nd3HoSn2
1.0
-4.089 5.087 -0.811
-4.721 -4.106 -1.950
1.729 -1.328 9.623
Nd Ho Sn
6 2 4
direct
0.427 0.675 0.350
0.573 0.325 0.650
0.077 0.825 0.650
0.923 0.175 0.350
0.500 0.750 0.000
0.500 0.250 0.000
0.000 0.250 0.000
0.000 0.750 0.000
0.382 0.138 0.275
0.618 0.862 0.725
0.106 0.362 0.725
0.894 0.638 0.275
```

Results
Magnetization ... 0.0000 μB/atom
VASP energy ... -5.06 eV per atom
Energy above the most stable polymorph in this dataset ... 0 meV per atom
Formation energy ... -0.58 eV per atom

---

[18]
Here is a relaxed structure of BaUTl2Se6 from Alexandria via LeMat-Bulk. Energies are from PBE.

POSCAR file:
```
BaUTl2Se6
1.0
-5.965 4.623 0.492
-1.030 -0.515 -7.651
-6.632 -9.113 1.506
Ba U Tl Se
2 2 4 12
direct
0.500 0.000 0.000
0.000 0.500 0.500
0.500 0.000 0.500
0.000 0.500 0.000
0.969 0.968 0.259
0.469 0.532 0.759
0.031 0.032 0.741
0.531 0.468 0.241
0.316 0.632 0.056
0.816 0.868 0.556
0.684 0.368 0.944
0.184 0.132 0.444
0.386 0.691 0.427
0.886 0.809 0.927
0.614 0.309 0.573
0.114 0.191 0.073
0.892 0.596 0.224
0.392 0.904 0.724
0.108 0.404 0.776
0.608 0.096 0.276
```

Results
Magnetization ... 0.0000 μB/atom
VASP energy ... -4.69 eV per atom

---

[19]
Here is a relaxed structure of LaCo9Ge4 from Alexandria via LeMat-Bulk. Energies are from PBE.

POSCAR file:
```
LaCo9Ge4
1.0
6.893 0.000 -3.887
-2.191 6.535 -3.887
0.054 0.075 8.152
La Co Ge
2 18 8
direct
0.750 0.750 0.500
0.250 0.250 0.500
0.066 0.200 0.000
0.934 0.800 0.000
0.566 0.300 0.000
0.434 0.700 0.000
0.300 0.434 0.000
0.700 0.566 0.000
0.200 0.934 0.000
0.800 0.066 0.000
0.000 0.500 0.000
0.500 0.000 0.000
0.800 0.300 0.355
0.555 0.055 0.355
0.945 0.200 0.645
0.700 0.445 0.645
0.200 0.700 0.645
0.445 0.945 0.645
0.300 0.555 0.355
0.055 0.800 0.355
0.298 0.798 0.250
0.952 0.452 0.250
0.548 0.702 0.750
0.202 0.048 0.750
0.702 0.202 0.750
0.048 0.548 0.750
0.798 0.952 0.250
0.452 0.298 0.250
```

Results
Magnetization ... 0.5053 μB/atom
VASP energy ... -6.52 eV per atom
Formation energy ... -0.28 eV per atom

---

[20]
Here is a relaxed structure of TcHSe2 from Alexandria via LeMat-Bulk. Energies are from PBE.

POSCAR file:
```
TcHSe2
1.0
5.290 0.000 0.000
0.000 3.503 0.000
0.000 0.000 16.664
H Tc Se
4 4 8
direct
0.975 0.250 0.669
0.525 0.750 0.169
0.025 0.750 0.331
0.475 0.250 0.831
0.323 0.250 0.462
0.177 0.750 0.962
0.677 0.750 0.538
0.823 0.250 0.038
0.784 0.250 0.436
0.716 0.750 0.936
0.216 0.750 0.564
0.284 0.250 0.064
0.196 0.250 0.846
0.304 0.750 0.346
0.804 0.750 0.154
0.696 0.250 0.654
```

Results
Magnetization ... 0.2090 μB/atom
VASP energy ... -5.29 eV per atom
Energy above the most stable polymorph in this dataset ... 67 meV per atom

---

[21]
Here is a relaxed structure of Mg7In2Ga from Alexandria via LeMat-Bulk. Energies are from PBE.

POSCAR file:
```
Mg7In2Ga
1.0
-0.836 -0.713 -4.713
-0.752 -3.587 3.160
-11.099 3.584 1.428
Mg In Ga
7 2 1
direct
0.333 0.667 0.409
0.333 0.667 0.146
0.000 0.000 0.240
0.000 0.000 0.741
0.667 0.333 0.570
0.667 0.333 0.035
0.333 0.667 0.893
0.667 0.333 0.307
0.333 0.667 0.652
0.000 0.000 0.991
```

Results
Magnetization ... 0.0000 μB/atom
VASP energy ... -2.01 eV per atom
Energy above the most stable polymorph in this dataset ... 0 meV per atom
Formation energy ... -0.05 eV per atom

---

[22]
Here is a relaxed structure of K2Zr3HgO8 from Alexandria via LeMat-Bulk. Energies are from PBE.

POSCAR file:
```
K2Zr3HgO8
1.0
6.640 0.000 0.000
3.320 5.750 0.000
3.320 1.917 6.512
K Zr Hg O
2 3 1 8
direct
0.131 0.131 0.607
0.495 0.495 0.515
0.496 0.003 0.006
0.003 0.496 0.006
0.496 0.496 0.006
0.928 0.928 0.215
0.273 0.273 0.182
0.715 0.715 0.854
0.233 0.233 0.851
0.683 0.233 0.851
0.233 0.683 0.851
0.747 0.313 0.192
0.313 0.747 0.192
0.747 0.747 0.192
```

Results
Magnetization ... 0.0000 μB/atom
VASP energy ... -7.33 eV per atom